Entry 1:
Material: HfAs2O
Method: DFT, PBE-GGA
State: relaxed

Results
VASP energy, eV/atom: -7.29
Mass density, kg/m3: 8583

a = 3.623 Å, b = 3.623 Å, c = 10.153 Å
α = 90.00°, β = 90.00°, γ = 90.00°
Atoms (fractional coordinates):
1 O 0.000 0.000 0.000
2 As 0.000 0.000 0.500
3 Hf 0.500 0.000 0.881
4 Hf 0.000 0.500 0.119
5 O 0.500 0.500 0.000
6 As 0.000 0.500 0.743
7 As 0.500 0.000 0.257
8 As 0.500 0.500 0.500


Entry 2:
Material: TlCoNiOs
Method: DFT, PBE-GGA
State: relaxed

Results
VASP energy, eV/atom: -5.92
Mass density, kg/m3: 14694
Energy relative to the lowest polymorph listed for this composition, eV per atom: 0.000

a = 4.342 Å, b = 4.342 Å, c = 4.342 Å
α = 60.00°, β = 60.00°, γ = 60.00°
Atoms (fractional coordinates):
1 Co 0.750 0.750 0.750
2 Tl 0.000 0.000 0.000
3 Ni 0.250 0.250 0.250
4 Os 0.500 0.500 0.500


Entry 3:
Material: NaHfReTe
Method: DFT, PBE-GGA
State: relaxed

Results
VASP energy, eV/atom: -6.44
Mass density, kg/m3: 11617
Energy relative to the lowest polymorph listed for this composition, eV per atom: 0.000

a = 4.705 Å, b = 4.705 Å, c = 4.705 Å
α = 60.00°, β = 60.00°, γ = 60.00°
Atoms (fractional coordinates):
1 Hf 0.500 0.500 0.500
2 Te 0.000 0.000 0.000
3 Re 0.250 0.250 0.250
4 Na 0.750 0.750 0.750


Entry 4:
Material: KTaAuO3
Method: DFT, PBE-GGA
State: relaxed

Results
VASP energy, eV/atom: -7.10
Mass density, kg/m3: 7798

a = 3.086 Å, b = 10.829 Å, c = 11.853 Å
α = 90.00°, β = 90.00°, γ = 90.00°
Atoms (fractional coordinates):
1 O 0.750 0.272 0.666
2 Au 0.750 0.907 0.537
3 O 0.250 0.728 0.334
4 O 0.750 0.801 0.050
5 O 0.250 0.199 0.950
6 O 0.250 0.772 0.834
7 O 0.750 0.981 0.907
8 Au 0.750 0.593 0.037
9 O 0.750 0.699 0.550
10 O 0.250 0.481 0.593
11 Au 0.250 0.407 0.963
12 K 0.750 0.597 0.760
13 Ta 0.750 0.134 0.042
14 O 0.250 0.019 0.093
15 Au 0.250 0.093 0.463
16 O 0.750 0.519 0.407
17 Ta 0.250 0.635 0.458
18 O 0.250 0.301 0.450
19 K 0.750 0.903 0.260
20 K 0.250 0.403 0.240
21 Ta 0.250 0.866 0.958
22 K 0.250 0.097 0.740
23 O 0.750 0.228 0.166
24 Ta 0.750 0.366 0.542